[1]
Material: NaWO2
Method: DFT, meta-GGA SCAN
State: PBEsol geometry

Results
calculated total energy: -355.99 eV/cell

Cell and atoms, written as POSCAR:
```
NaWO2
1.0
5.3325 0.0000 0.0000
0.0000 5.3325 0.0000
0.0000 0.0000 5.3325
Na W O
4 4 8
Direct
0.0000 0.0000 0.0000
0.0000 0.5000 0.5000
0.5000 0.0000 0.5000
0.5000 0.5000 0.0000
0.0000 0.0000 0.5000
0.0000 0.5000 0.0000
0.5000 0.0000 0.0000
0.5000 0.5000 0.5000
0.2500 0.2500 0.2500
0.2500 0.2500 0.7500
0.2500 0.7500 0.2500
0.2500 0.7500 0.7500
0.7500 0.2500 0.2500
0.7500 0.2500 0.7500
0.7500 0.7500 0.2500
0.7500 0.7500 0.7500
```

=====

[2]
Material: SbMoIrI2
Method: DFT, meta-GGA SCAN
State: PBEsol geometry

Results
calculated total energy: -211.35 eV/cell

Cell and atoms, written as POSCAR:
```
SbMoIrI2
1.0
5.4845 0.0000 0.0000
0.0000 5.4845 0.0000
0.0000 0.0000 4.9255
Sb Mo Ir I
1 1 1 2
Direct
0.0000 0.0000 0.0000
0.5000 0.5000 0.0000
0.0000 0.0000 0.5000
0.0000 0.5000 0.5000
0.5000 0.0000 0.5000
```

=====

[3]
Material: CdAgAu2
Method: DFT, meta-GGA SCAN
State: PBEsol geometry

Results
calculated total energy: -802.70 eV/cell
energy of formation from the pure elements: -0.145 eV per atom

Cell and atoms, written as POSCAR:
```
CdAgAu2
1.0
6.5286 0.0000 0.0000
0.0000 6.5286 0.0000
0.0000 0.0000 6.5286
Cd Ag Au
4 4 8
Direct
0.0000 0.0000 0.0000
0.0000 0.5000 0.5000
0.5000 0.0000 0.5000
0.5000 0.5000 0.0000
0.2500 0.2500 0.2500
0.2500 0.7500 0.7500
0.7500 0.2500 0.7500
0.7500 0.7500 0.2500
0.0000 0.0000 0.5000
0.0000 0.5000 0.0000
0.2500 0.2500 0.7500
0.2500 0.7500 0.2500
0.5000 0.0000 0.0000
0.5000 0.5000 0.5000
0.7500 0.2500 0.2500
0.7500 0.7500 0.7500
```

=====

[4]
Material: Cu2NiAg
Method: DFT, meta-GGA SCAN
State: PBEsol geometry

Results
calculated total energy: -154.46 eV/cell
energy of formation from the pure elements: 0.177 eV per atom

Cell and atoms, written as POSCAR:
```
Cu2NiAg
1.0
8.5483 0.0000 0.0000
0.0000 2.6454 0.0000
-0.8838 0.0000 4.3820
Cu Ni Ag
4 2 2
Direct
0.0000 0.0000 0.0000
0.2463 0.5000 0.2412
0.5000 0.5000 0.0000
0.7463 0.0000 0.2412
0.4888 0.0000 0.4698
0.9888 0.5000 0.4698
0.2436 0.0000 0.7371
0.7436 0.5000 0.7371
```

=====

[5]
Material: CsKWCl2
Method: DFT, meta-GGA SCAN
State: PBEsol geometry

Results
calculated total energy: -128.72 eV/cell

Cell and atoms, written as POSCAR:
```
CsKWCl2
1.0
6.1961 0.0000 0.0000
0.0000 6.1961 0.0000
0.0000 0.0000 6.5116
Cs K W Cl
1 1 1 2
Direct
0.0000 0.0000 0.0000
0.0000 0.0000 0.5000
0.5000 0.5000 0.5000
0.0000 0.5000 0.0000
0.5000 0.0000 0.0000
```

=====

[6]
Material: LiRhSe2Br
Method: DFT, meta-GGA SCAN
State: PBEsol geometry

Results
calculated total energy: -96.71 eV/cell

Cell and atoms, written as POSCAR:
```
LiRhSe2Br
1.0
4.7606 0.0000 0.0000
0.0000 4.7606 0.0000
0.0000 0.0000 5.3647
Li Rh Se Br
1 1 2 1
Direct
0.0000 0.0000 0.0000
0.5000 0.5000 0.5000
0.0000 0.5000 0.5000
0.5000 0.0000 0.5000
0.5000 0.5000 0.0000
```

=====

[7]
Material: CaRe2As
Method: DFT, meta-GGA SCAN
State: PBEsol geometry

Results
calculated total energy: -517.13 eV/cell
energy of formation from the pure elements: -0.082 eV per atom

Cell and atoms, written as POSCAR:
```
CaRe2As
1.0
4.2094 0.0000 0.0000
-2.1047 3.6454 0.0000
0.0000 0.0000 15.8365
Ca Re As
3 6 3
Direct
0.0000 0.0000 0.0000
0.3333 0.6667 0.6667
0.6667 0.3333 0.3333
0.0000 0.0000 0.2027
0.0000 0.0000 0.5049
0.3333 0.6667 0.1716
0.3333 0.6667 0.8694
0.6667 0.3333 0.5361
0.6667 0.3333 0.8383
0.0000 0.0000 0.7849
0.3333 0.6667 0.4516
0.6667 0.3333 0.1183
```

=====

[8]
Material: Zn4Ni5
Method: DFT, meta-GGA SCAN
State: PBEsol geometry

Results
calculated total energy: -271.23 eV/cell
energy of formation from the pure elements: -0.077 eV per atom

Cell and atoms, written as POSCAR:
```
Zn4Ni5
1.0
7.0163 0.0000 0.0000
-3.5081 6.0763 0.0000
0.0000 0.0000 4.8664
Zn Ni
8 10
Direct
0.0000 0.0000 0.0000
0.0000 0.0000 0.5000
0.0000 0.3588 0.2500
0.0000 0.6412 0.7500
0.3588 0.0000 0.2500
0.3588 0.3588 0.7500
0.6412 0.0000 0.7500
0.6412 0.6412 0.2500
0.0000 0.3118 0.7500
0.0000 0.6882 0.2500
0.3118 0.0000 0.7500
0.3118 0.3118 0.2500
0.3333 0.6667 0.0000
0.3333 0.6667 0.5000
0.6667 0.3333 0.0000
0.6667 0.3333 0.5000
0.6882 0.0000 0.2500
0.6882 0.6882 0.7500
```

=====

[9]
Material: Zr2CuRe
Method: DFT, meta-GGA SCAN
State: PBEsol geometry

Results
calculated total energy: -596.01 eV/cell
energy of formation from the pure elements: -0.327 eV per atom

Cell and atoms, written as POSCAR:
```
Zr2CuRe
1.0
6.5053 0.0000 0.0000
0.0000 6.5053 0.0000
0.0000 0.0000 6.5053
Zr Cu Re
8 4 4
Direct
0.2500 0.2500 0.2500
0.2500 0.2500 0.7500
0.2500 0.7500 0.2500
0.2500 0.7500 0.7500
0.7500 0.2500 0.2500
0.7500 0.2500 0.7500
0.7500 0.7500 0.2500
0.7500 0.7500 0.7500
0.0000 0.0000 0.0000
0.0000 0.5000 0.5000
0.5000 0.0000 0.5000
0.5000 0.5000 0.0000
0.0000 0.0000 0.5000
0.0000 0.5000 0.0000
0.5000 0.0000 0.0000
0.5000 0.5000 0.5000
```

=====

[10]
Material: CaPtW
Method: DFT, meta-GGA SCAN
State: PBEsol geometry

Results
calculated total energy: -148.53 eV/cell
energy of formation from the pure elements: 0.339 eV per atom

Cell and atoms, written as POSCAR:
```
CaPtW
1.0
4.7223 0.0000 0.0000
-2.3611 4.0896 0.0000
0.0000 0.0000 2.8075
Ca Pt W
1 1 1
Direct
0.0000 0.0000 0.0000
0.6667 0.3333 0.5000
0.3333 0.6667 0.5000
```

=====

[11]
Material: Y4HgOs
Method: DFT, meta-GGA SCAN
State: PBEsol geometry

Results
calculated total energy: -247.04 eV/cell
energy of formation from the pure elements: 0.729 eV per atom

Cell and atoms, written as POSCAR:
```
Y4HgOs
1.0
0.0000 4.1270 4.1270
4.1270 0.0000 4.1270
4.1270 4.1270 0.0000
Y Hg Os
4 1 1
Direct
0.3767 0.3767 0.3767
0.3767 0.3767 0.8699
0.3767 0.8699 0.3767
0.8699 0.3767 0.3767
0.0000 0.0000 0.0000
0.7500 0.7500 0.7500
```

=====

[12]
Material: Ag2BrCl
Method: DFT, meta-GGA SCAN
State: PBEsol geometry

Results
calculated total energy: -91.58 eV/cell

Cell and atoms, written as POSCAR:
```
Ag2BrCl
1.0
3.6056 0.0000 0.0000
0.0000 3.9938 0.0000
0.0000 0.0000 5.9386
Ag Br Cl
2 1 1
Direct
0.0000 0.0000 0.0000
0.0000 0.5000 0.5000
0.5000 0.0000 0.5000
0.5000 0.5000 0.0000
```